Entry 1:
# CaTb2Sc, relaxed, DFT PBE
# Symmetry ... R-3m
# Excess energy over the best structure of this formula in the dataset ... 0.1111 eV per atom
# Spin magnetization ... 0.00 μB/cell
# DOS(E_F) ... 5.0 states/eV per cell
# VASP energy ... -4.22 eV/atom
# Energy of formation from the pure elements ... 69 kJ/mol of formula units
data_CaTb2Sc
_chemical_formula_sum 'Ca1 Tb2 Sc1'
_symmetry_space_group_name_H-M 'P 1'
_symmetry_Int_Tables_number 1
_cell_length_a 12.450
_cell_length_b 12.450
_cell_length_c 12.450
_cell_angle_alpha 16.10
_cell_angle_beta 16.10
_cell_angle_gamma 16.10
loop_
_symmetry_equiv_pos_as_xyz
'x,y,z'
loop_
_atom_site_label
_atom_site_type_symbol
_atom_site_fract_x
_atom_site_fract_y
_atom_site_fract_z
_atom_site_occupancy
Ca1 Ca 0.000 0.000 0.000 1
Tb1 Tb 0.094 0.094 0.094 1
Tb2 Tb 0.906 0.906 0.906 1
Sc1 Sc 0.500 0.500 0.500 1

Entry 2:
# CaTb2Sc, relaxed, DFT PBE
# Symmetry ... R3m
# Excess energy over the best structure of this formula in the dataset ... 0.0170 eV per atom
# Spin magnetization ... 0.00 μB/cell
# DOS(E_F) ... 5.1 states/eV per cell
# VASP energy ... -4.31 eV/atom
# Energy of formation from the pure elements ... 33 kJ/mol of formula units
data_CaTb2Sc
_chemical_formula_sum 'Ca1 Tb2 Sc1'
_symmetry_space_group_name_H-M 'P 1'
_symmetry_Int_Tables_number 1
_cell_length_a 11.932
_cell_length_b 11.932
_cell_length_c 11.932
_cell_angle_alpha 17.05
_cell_angle_beta 17.05
_cell_angle_gamma 17.05
loop_
_symmetry_equiv_pos_as_xyz
'x,y,z'
loop_
_atom_site_label
_atom_site_type_symbol
_atom_site_fract_x
_atom_site_fract_y
_atom_site_fract_z
_atom_site_occupancy
Ca1 Ca 0.000 0.000 0.000 1
Tb1 Tb 0.242 0.242 0.242 1
Tb2 Tb 0.425 0.425 0.425 1
Sc1 Sc 0.834 0.834 0.834 1

Entry 3:
# Ca3Tb3ScTe8, relaxed, DFT PBE
# Symmetry ... R-3m
# Spin magnetization ... 0.00 μB/cell
# DOS(E_F) ... 5.0 states/eV per cell
# VASP energy ... -4.88 eV/atom
# ΔE_f (raw) ... -1.460 eV per atom
data_Ca3Tb3ScTe8
_chemical_formula_sum 'Ca3 Tb3 Sc1 Te8'
_symmetry_space_group_name_H-M 'P 1'
_symmetry_Int_Tables_number 1
_cell_length_a 8.913
_cell_length_b 8.913
_cell_length_c 8.913
_cell_angle_alpha 58.63
_cell_angle_beta 58.63
_cell_angle_gamma 58.63
loop_
_symmetry_equiv_pos_as_xyz
'x,y,z'
loop_
_atom_site_label
_atom_site_type_symbol
_atom_site_fract_x
_atom_site_fract_y
_atom_site_fract_z
_atom_site_occupancy
Ca1 Ca 0.000 0.500 0.500 1
Ca2 Ca 0.500 0.000 0.500 1
Ca3 Ca 0.500 0.500 0.000 1
Tb1 Tb 0.000 0.000 0.500 1
Tb2 Tb 0.000 0.500 0.000 1
Tb3 Tb 0.500 0.000 0.000 1
Sc1 Sc 0.500 0.500 0.500 1
Te1 Te 0.249 0.249 0.249 1
Te2 Te 0.253 0.742 0.742 1
Te3 Te 0.258 0.258 0.747 1
Te4 Te 0.258 0.747 0.258 1
Te5 Te 0.742 0.253 0.742 1
Te6 Te 0.742 0.742 0.253 1
Te7 Te 0.747 0.258 0.258 1
Te8 Te 0.751 0.751 0.751 1

Entry 4:
# Ca2TbScTe4, relaxed, DFT PBE
# Symmetry ... P2/m
# Spin magnetization ... 0.00 μB/cell
# DOS(E_F) ... 4.1 states/eV per cell
# VASP energy ... -4.84 eV/atom
# ΔE_f (raw) ... -1.403 eV per atom
data_Ca2TbScTe4
_chemical_formula_sum 'Ca2 Tb1 Sc1 Te4'
_symmetry_space_group_name_H-M 'P 1'
_symmetry_Int_Tables_number 1
_cell_length_a 7.529
_cell_length_b 4.352
_cell_length_c 7.695
_cell_angle_alpha 90.00
_cell_angle_beta 109.12
_cell_angle_gamma 90.00
loop_
_symmetry_equiv_pos_as_xyz
'x,y,z'
loop_
_atom_site_label
_atom_site_type_symbol
_atom_site_fract_x
_atom_site_fract_y
_atom_site_fract_z
_atom_site_occupancy
Ca1 Ca 0.000 0.000 0.000 1
Ca2 Ca 0.500 0.500 0.000 1
Tb1 Tb 0.000 0.500 0.500 1
Sc1 Sc 0.500 0.000 0.500 1
Te1 Te 0.255 0.000 0.742 1
Te2 Te 0.262 0.500 0.263 1
Te3 Te 0.738 0.500 0.737 1
Te4 Te 0.745 0.000 0.258 1

Entry 5:
# Ca4Tb3ScTe8, relaxed, DFT PBE
# Symmetry ... R-3m
# Spin magnetization ... 0.00 μB/cell
# DOS(E_F) ... 6.8 states/eV per cell
# VASP energy ... -4.77 eV/atom
# ΔE_f (raw) ... -1.435 eV per atom
data_Ca4Tb3ScTe8
_chemical_formula_sum 'Ca4 Tb3 Sc1 Te8'
_symmetry_space_group_name_H-M 'P 1'
_symmetry_Int_Tables_number 1
_cell_length_a 8.887
_cell_length_b 8.887
_cell_length_c 8.887
_cell_angle_alpha 58.98
_cell_angle_beta 58.98
_cell_angle_gamma 58.98
loop_
_symmetry_equiv_pos_as_xyz
'x,y,z'
loop_
_atom_site_label
_atom_site_type_symbol
_atom_site_fract_x
_atom_site_fract_y
_atom_site_fract_z
_atom_site_occupancy
Ca1 Ca 0.000 0.000 0.000 1
Ca2 Ca 0.000 0.500 0.500 1
Ca3 Ca 0.500 0.000 0.500 1
Ca4 Ca 0.500 0.500 0.000 1
Tb1 Tb 0.000 0.000 0.500 1
Tb2 Tb 0.000 0.500 0.000 1
Tb3 Tb 0.500 0.000 0.000 1
Sc1 Sc 0.500 0.500 0.500 1
Te1 Te 0.249 0.249 0.249 1
Te2 Te 0.254 0.744 0.744 1
Te3 Te 0.256 0.256 0.746 1
Te4 Te 0.256 0.746 0.256 1
Te5 Te 0.744 0.254 0.744 1
Te6 Te 0.744 0.744 0.254 1
Te7 Te 0.746 0.256 0.256 1
Te8 Te 0.751 0.751 0.751 1

Entry 6:
# CaTbTmSc, relaxed, DFT PBE
# Symmetry ... F-43m
# Spin magnetization ... 0.00 μB/cell
# DOS(E_F) ... 6.9 states/eV per cell
# VASP energy ... -4.18 eV/atom
# Energy of formation from the pure elements ... 71 kJ/mol of formula units
data_CaTbTmSc
_chemical_formula_sum 'Ca1 Tb1 Tm1 Sc1'
_symmetry_space_group_name_H-M 'P 1'
_symmetry_Int_Tables_number 1
_cell_length_a 5.590
_cell_length_b 5.590
_cell_length_c 5.590
_cell_angle_alpha 60.00
_cell_angle_beta 60.00
_cell_angle_gamma 60.00
loop_
_symmetry_equiv_pos_as_xyz
'x,y,z'
loop_
_atom_site_label
_atom_site_type_symbol
_atom_site_fract_x
_atom_site_fract_y
_atom_site_fract_z
_atom_site_occupancy
Ca1 Ca 0.000 0.000 0.000 1
Tb1 Tb 0.750 0.750 0.750 1
Tm1 Tm 0.250 0.250 0.250 1
Sc1 Sc 0.500 0.500 0.500 1

Entry 7:
# CaScTc2, relaxed, DFT PBE
# Symmetry ... Imm2
# Excess energy over the best structure of this formula in the dataset ... 0.1248 eV per atom
# Spin magnetization ... 0.00 μB/cell
# DOS(E_F) ... 2.6 states/eV per cell
# VASP energy ... -7.07 eV/atom
# Energy of formation from the pure elements ... 75 kJ/mol of formula units
data_CaScTc2
_chemical_formula_sum 'Ca1 Sc1 Tc2'
_symmetry_space_group_name_H-M 'P 1'
_symmetry_Int_Tables_number 1
_cell_length_a 5.740
_cell_length_b 5.740
_cell_length_c 5.740
_cell_angle_alpha 146.55
_cell_angle_beta 129.49
_cell_angle_gamma 61.95
loop_
_symmetry_equiv_pos_as_xyz
'x,y,z'
loop_
_atom_site_label
_atom_site_type_symbol
_atom_site_fract_x
_atom_site_fract_y
_atom_site_fract_z
_atom_site_occupancy
Ca1 Ca 0.000 0.000 0.000 1
Sc1 Sc 0.281 0.781 0.500 1
Tc1 Tc 0.550 0.550 0.000 1
Tc2 Tc 0.731 0.231 0.500 1

Entry 8:
# CaScTc2, relaxed, DFT PBE
# Symmetry ... Cmmm
# Excess energy over the best structure of this formula in the dataset ... 0.4409 eV per atom
# Spin magnetization ... 0.06 μB/cell
# DOS(E_F) ... 5.9 states/eV per cell
# VASP energy ... -6.76 eV/atom
# Energy of formation from the pure elements ... 197 kJ/mol of formula units
data_CaScTc2
_chemical_formula_sum 'Ca1 Sc1 Tc2'
_symmetry_space_group_name_H-M 'P 1'
_symmetry_Int_Tables_number 1
_cell_length_a 5.490
_cell_length_b 5.490
_cell_length_c 2.686
_cell_angle_alpha 90.00
_cell_angle_beta 90.00
_cell_angle_gamma 114.02
loop_
_symmetry_equiv_pos_as_xyz
'x,y,z'
loop_
_atom_site_label
_atom_site_type_symbol
_atom_site_fract_x
_atom_site_fract_y
_atom_site_fract_z
_atom_site_occupancy
Ca1 Ca 0.000 0.000 0.000 1
Sc1 Sc 0.500 0.500 0.000 1
Tc1 Tc 0.000 0.500 0.500 1
Tc2 Tc 0.500 0.000 0.500 1

Number 6 is which compound? CaTbTmSc